<a>
VASP calculation (PBE-GGA) on a relaxed structure of La4Cd2Os.

total moment: 0.00 μB/f.u.
volume: 437.5 Å³ per cell
SG: C2/m, No. 12

Cell: 11.732 4.784 9.043 Å, 90.00 120.46 90.00°
Atoms (fractional coordinates):
La 0.069 0.000 0.341
La 0.168 0.500 0.059
La 0.332 0.000 0.941
La 0.431 0.500 0.659
La 0.569 0.500 0.341
La 0.668 0.000 0.059
La 0.832 0.500 0.941
La 0.931 0.000 0.659
Cd 0.142 0.500 0.662
Cd 0.358 0.000 0.338
Cd 0.642 0.000 0.662
Cd 0.858 0.500 0.338
Os 0.000 0.000 0.000
Os 0.500 0.500 0.000

<b>
VASP calculation (PBE-GGA) on a relaxed structure of La4Cd2Os.

total moment: 0.00 μB/f.u.
volume: 496.5 Å³ per cell
SG: I4/mmm, No. 139

Cell: 5.572 5.572 15.993 Å, 90.00 90.00 90.00°
Atoms (fractional coordinates):
La 0.000 0.000 0.177
La 0.000 0.000 0.823
La 0.000 0.500 0.000
La 0.000 0.500 0.500
La 0.500 0.000 0.000
La 0.500 0.000 0.500
La 0.500 0.500 0.323
La 0.500 0.500 0.677
Cd 0.000 0.000 0.377
Cd 0.000 0.000 0.623
Cd 0.500 0.500 0.123
Cd 0.500 0.500 0.877
Os 0.000 0.000 0.000
Os 0.500 0.500 0.500

Quick one: least stable of them? <b>

<a>
VASP calculation (PBE-GGA) on a relaxed structure of La6Cd2Os.

total moment: 0.00 μB/f.u.
volume: 614.3 Å³ per cell
SG: P2_1/c, No. 14

Cell: 7.470 7.560 13.167 Å, 90.00 124.29 90.00°
Atoms (fractional coordinates):
La 0.164 0.212 0.462
La 0.164 0.288 0.962
La 0.251 0.700 0.459
La 0.251 0.800 0.959
La 0.334 0.502 0.750
La 0.334 0.998 0.250
La 0.666 0.002 0.750
La 0.666 0.498 0.250
La 0.749 0.200 0.041
La 0.749 0.300 0.541
La 0.836 0.712 0.038
La 0.836 0.788 0.538
Cd 0.222 0.061 0.745
Cd 0.222 0.439 0.245
Cd 0.778 0.561 0.755
Cd 0.778 0.939 0.255
Os 0.500 0.000 0.500
Os 0.500 0.500 0.000

<b>
VASP calculation (PBE-GGA) on a relaxed structure of La6Cd2Os.

total moment: 0.00 μB/f.u.
volume: 569.5 Å³ per cell
SG: Immm, No. 71

Cell: 9.057 9.057 9.057 Å, 113.63 108.44 106.43°
Atoms (fractional coordinates):
La 0.078 0.232 0.846
La 0.179 0.280 0.459
La 0.179 0.720 0.898
La 0.266 0.610 0.344
La 0.266 0.922 0.656
La 0.386 0.232 0.154
La 0.614 0.768 0.846
La 0.734 0.078 0.344
La 0.734 0.390 0.656
La 0.821 0.280 0.102
La 0.821 0.720 0.541
La 0.922 0.768 0.154
Cd 0.360 0.000 0.360
Cd 0.500 0.358 0.858
Cd 0.500 0.642 0.142
Cd 0.640 0.000 0.640
Os 0.000 0.000 0.000
Os 0.000 0.500 0.500

Quick one: least stable of them? <b>

<a>
VASP calculation (PBE-GGA) on a relaxed structure of La6CdOs.

total moment: 0.00 μB/f.u.
volume: 564.2 Å³ per cell
SG: C2/m, No. 12

Cell: 8.524 10.340 6.684 Å, 90.00 106.71 90.00°
Atoms (fractional coordinates):
La 0.103 0.193 0.295
La 0.103 0.807 0.295
La 0.204 0.500 0.094
La 0.296 0.000 0.906
La 0.397 0.307 0.705
La 0.397 0.693 0.705
La 0.603 0.307 0.295
La 0.603 0.693 0.295
La 0.704 0.000 0.094
La 0.796 0.500 0.906
La 0.897 0.193 0.705
La 0.897 0.807 0.705
Cd 0.000 0.500 0.500
Cd 0.500 0.000 0.500
Os 0.000 0.000 0.000
Os 0.500 0.500 0.000

<b>
VASP calculation (PBE-GGA) on a relaxed structure of La6CdOs.

total moment: 0.00 μB/f.u.
volume: 620.4 Å³ per cell
SG: C2/m, No. 12

Cell: 8.721 8.721 10.787 Å, 119.53 119.53 73.69°
Atoms (fractional coordinates):
La 0.011 0.665 0.345
La 0.142 0.785 0.791
La 0.215 0.858 0.209
La 0.245 0.245 0.170
La 0.335 0.989 0.655
La 0.386 0.386 0.587
La 0.614 0.614 0.413
La 0.665 0.011 0.345
La 0.755 0.755 0.830
La 0.785 0.142 0.791
La 0.858 0.215 0.209
La 0.989 0.335 0.655
Cd 0.000 0.500 0.000
Cd 0.500 0.000 0.000
Os 0.000 0.500 0.500
Os 0.500 0.000 0.500

Quick one: least stable of them? <b>

<a>
VASP calculation (PBE-GGA) on a relaxed structure of La8CdOs2.

total moment: 0.00 μB/f.u.
volume: 363.2 Å³ per cell
SG: C2/m, No. 12

Cell: 8.589 8.589 6.666 Å, 96.80 96.80 48.16°
Atoms (fractional coordinates):
La 0.070 0.070 0.330
La 0.126 0.610 0.116
La 0.298 0.298 0.619
La 0.390 0.874 0.884
La 0.610 0.126 0.116
La 0.702 0.702 0.381
La 0.874 0.390 0.884
La 0.930 0.930 0.670
Cd 0.500 0.500 0.500
Os 0.225 0.225 0.198
Os 0.775 0.775 0.802

<b>
VASP calculation (PBE-GGA) on a relaxed structure of La8CdOs2.

total moment: 0.00 μB/f.u.
volume: 352.9 Å³ per cell
SG: Cm, No. 8

Cell: 8.371 8.371 5.749 Å, 96.37 96.37 116.35°
Atoms (fractional coordinates):
La 0.000 0.000 0.000
La 0.189 0.189 0.579
La 0.261 0.517 0.238
La 0.342 0.848 0.790
La 0.517 0.261 0.238
La 0.672 0.928 0.341
La 0.848 0.342 0.790
La 0.928 0.672 0.341
Cd 0.594 0.594 0.790
Os 0.297 0.892 0.290
Os 0.892 0.297 0.290

Quick one: least stable of them? <b>

<a>
VASP calculation (PBE-GGA) on a relaxed structure of La2Cd2P.

total moment: 0.00 μB/f.u.
volume: 278.1 Å³ per cell
SG: I4/mmm, No. 139

Cell: 3.905 3.905 18.236 Å, 90.00 90.00 90.00°
Atoms (fractional coordinates):
La 0.000 0.000 0.087
La 0.000 0.000 0.913
La 0.500 0.500 0.413
La 0.500 0.500 0.587
Cd 0.000 0.500 0.250
Cd 0.000 0.500 0.750
Cd 0.500 0.000 0.250
Cd 0.500 0.000 0.750
P 0.000 0.000 0.500
P 0.500 0.500 0.000

<b>
VASP calculation (PBE-GGA) on a relaxed structure of La2Cd2P.

total moment: 0.00 μB/f.u.
volume: 312.7 Å³ per cell
SG: P4/mbm, No. 127

Cell: 7.728 7.728 5.237 Å, 90.00 90.00 90.00°
Atoms (fractional coordinates):
La 0.166 0.334 0.000
La 0.334 0.834 0.000
La 0.666 0.166 0.000
La 0.834 0.666 0.000
Cd 0.138 0.638 0.500
Cd 0.362 0.138 0.500
Cd 0.638 0.862 0.500
Cd 0.862 0.362 0.500
P 0.000 0.000 0.000
P 0.500 0.500 0.000

Quick one: least stable of them? <b>

<a>
VASP calculation (PBE-GGA) on a relaxed structure of La2CdP.

total moment: 0.00 μB/f.u.
volume: 107.0 Å³ per cell
SG: P4/mmm, No. 123

Cell: 3.806 3.806 7.385 Å, 90.00 90.00 90.00°
Atoms (fractional coordinates):
La 0.000 0.000 0.217
La 0.000 0.000 0.783
Cd 0.500 0.500 0.500
P 0.500 0.500 0.000

<b>
VASP calculation (PBE-GGA) on a relaxed structure of La2CdP.

total moment: 0.00 μB/f.u.
volume: 215.4 Å³ per cell
SG: Imm2, No. 44

Cell: 3.915 4.889 11.252 Å, 90.00 90.00 90.00°
Atoms (fractional coordinates):
La 0.000 0.000 0.000
La 0.000 0.500 0.216
La 0.500 0.000 0.716
La 0.500 0.500 0.500
Cd 0.000 0.000 0.417
Cd 0.500 0.500 0.917
P 0.000 0.500 0.720
P 0.500 0.000 0.220

<c>
VASP calculation (PBE-GGA) on a relaxed structure of La2CdP.

total moment: 0.50 μB/f.u.
volume: 239.1 Å³ per cell
SG: Cmm2, No. 35

Cell: 4.660 5.714 8.978 Å, 90.00 90.00 90.00°
Atoms (fractional coordinates):
La 0.000 0.000 0.000
La 0.000 0.500 0.378
La 0.500 0.000 0.378
La 0.500 0.500 0.000
Cd 0.000 0.000 0.633
Cd 0.500 0.500 0.633
P 0.000 0.500 0.822
P 0.500 0.000 0.822

Quick one: least stable of them? <c>